Crystalline CeMnAsO5 at its relaxed geometry. Source: Alexandria, functional PBE+U.

Cell: 6.2284 6.2284 8.0368 Å, 108.89 108.89 94.20°
Last column: nearest neighbours and their distance in Å.
Fractional coordinates of all 16 atoms:
O (0.1047, 0.8953, 0.2500)  1 Mn 1.97
O (0.6805, 0.6684, 0.3437)  1 As 1.76
O (0.7331, 0.2507, 0.4254)  1 As 1.73
Mn (0.3204, 0.6796, 0.2500)  3 O 1.97-2.14
O (0.2669, 0.7493, 0.5746)  1 As 1.73
Ce (0.0000, 0.0000, 0.5000)  6 O 2.22-2.43
As (0.3638, 0.6362, 0.7500)  4 O 1.73-1.76
O (0.7493, 0.2669, 0.0746)  1 As 1.73
O (0.6684, 0.6805, 0.8437)  1 As 1.76
O (0.3316, 0.3195, 0.1563)  1 As 1.76
Mn (0.6796, 0.3204, 0.7500)  3 O 1.97-2.14
O (0.2507, 0.7331, 0.9254)  1 As 1.73
Ce (0.0000, 0.0000, 0.0000)  6 O 2.22-2.43
O (0.3195, 0.3316, 0.6563)  1 As 1.76
As (0.6362, 0.3638, 0.2500)  4 O 1.73-1.76
O (0.8953, 0.1047, 0.7500)  1 Mn 1.97

## Properties
**DFT total energy**: -118.10 eV per cell
**V**: 273.54 Å³/cell
**DOS at the Fermi energy**: 5.287 states/eV/f.u.
**Spin magnetization**: 11.42 Bohr magnetons per cell